A plane-wave DFT calculation with GGA-PBE was carried out for a relaxed structure of CoP3Ir.

Its total energy is -33.7 eV per cell. The value obtained for the excess energy over the best structure of this formula in the dataset is 0.033 eV per atom. The total moment comes out at 0.000 μB per cell.

```
data_CoP3Ir
_symmetry_space_group_name_H-M 'P 1 2/m 1'
_symmetry_Int_Tables_number 10
_symmetry_space_group_name_Hall '-P 2y'
_cell_length_a 4.731
_cell_length_b 3.484
_cell_length_c 4.780
_cell_angle_alpha 90.00
_cell_angle_beta 113.94
_cell_angle_gamma 90.00
loop_
_atom_site_label
_atom_site_fract_x
_atom_site_fract_y
_atom_site_fract_z
Co1 0.000 0.000 0.000
P1 0.109 0.500 0.334
P2 0.500 0.000 0.000
Ir1 0.500 0.000 0.500
```